(1)
LaErGa4: relaxed, GGA-PBE.

For the polymorph energy (0 for the lowest one), the calculation gives 19 meV/atom. The density of states at the Fermi level comes out at 7.03 states/eV/cell. As for the energy of formation: -0.639 eV per atom.

The space group is I-4m2 (No. 119) and the conventional cell measures 4.257, 4.257 and 14.847 Å, with angles of 90.00, 90.00 and 90.00 degrees. Symmetry generates all atoms from La at (0.000, 0.000, 0.000), Er at (0.000, 0.500, 0.750), Ga at (0.000, 0.000, 0.415) and Ga at (0.000, 0.500, 0.169).

---

(2)
Gd2TmPu: relaxed, GGA-PBE.

For the polymorph energy (0 for the lowest one), the calculation gives 23 meV/atom. The density of states at the Fermi level comes out at 17.13 states/eV/cell. As for the energy of formation: 0.136 eV per atom.

The space group is P4/mmm (No. 123) and the conventional cell measures 4.935, 4.935 and 4.943 Å, with angles of 90.00, 90.00 and 90.00 degrees. Symmetry generates all atoms from Gd at (0.000, 0.500, 0.000), Tm at (0.000, 0.000, 0.500) and Pu at (0.500, 0.500, 0.500).

---

(3)
CdIn5Hg6: relaxed, GGA-PBE.

For the polymorph energy (0 for the lowest one), the calculation gives 0 meV/atom. The density of states at the Fermi level comes out at 4.46 states/eV/cell. As for the energy of formation: 0.011 eV per atom.

The space group is P-1 (No. 2) and the conventional cell measures 6.360, 6.957 and 8.080 Å, with angles of 82.75, 72.94 and 70.15 degrees. Symmetry generates all atoms from Cd at (0.000, 0.000, 0.000), In at (0.000, 0.500, 0.000), In at (0.330, 0.501, 0.341), In at (0.331, 0.002, 0.332), Hg at (0.167, 0.247, 0.671), Hg at (0.168, 0.755, 0.671) and Hg at (0.494, 0.747, 0.000).

---

(4)
Li2LaTc: relaxed, GGA-PBE.

For the polymorph energy (0 for the lowest one), the calculation gives 97 meV/atom. The density of states at the Fermi level comes out at 4.46 states/eV/cell. As for the energy of formation: 0.331 eV per atom.

The space group is C2/m (No. 12) and the conventional cell measures 5.302, 10.638 and 3.126 Å, with angles of 90.00, 114.86 and 90.00 degrees. Symmetry generates all atoms from Li at (0.250, 0.250, 0.000), La at (0.000, 0.000, 0.500) and Tc at (0.000, 0.500, 0.500).

---

(5)
Mn2IrPb: relaxed, GGA-PBE.

The density of states at the Fermi level comes out at 2.61 states/eV/cell. As for the energy of formation: 0.234 eV per atom.

The space group is P4/mmm (No. 123) and the conventional cell measures 3.090, 3.090 and 7.734 Å, with angles of 90.00, 90.00 and 90.00 degrees. Symmetry generates all atoms from Mn at (0.000, 0.000, 0.198), Ir at (0.500, 0.500, 0.000) and Pb at (0.500, 0.500, 0.500).

---

(6)
LaTl2Zn2Se4: relaxed, GGA-PBE.

The density of states at the Fermi level comes out at 5.69 states/eV/cell. As for the uncorrected formation energy: -829.6 meV/atom.

The space group is C2/m (No. 12) and the conventional cell measures 15.526, 4.240 and 8.085 Å, with angles of 90.00, 105.64 and 90.00 degrees. Symmetry generates all atoms from La at (0.000, 0.000, 0.000), Tl at (0.128, 0.000, 0.547), Zn at (0.173, 0.500, 0.984), Se at (0.028, 0.500, 0.755) and Se at (0.204, 0.000, 0.170).

---

(7)
Sc2ReB: relaxed, GGA-PBE.

The density of states at the Fermi level comes out at 2.26 states/eV/cell. As for the energy of formation: -0.184 eV per atom.

The space group is P-3m1 (No. 164) and the conventional cell measures 4.3628, 4.3628 and 4.2082 Å, with angles of 90.00, 90.00 and 120.00 degrees. Symmetry generates all atoms from Sc at (0.3333, 0.6667, 0.2309), Re at (0.0000, 0.0000, 0.5000) and B at (0.0000, 0.0000, 0.0000).

---

(8)
BeCd2Te: relaxed, GGA-PBE.

For the polymorph energy (0 for the lowest one), the calculation gives 207 meV/atom. The density of states at the Fermi level comes out at 2.63 states/eV/cell. As for the uncorrected formation energy: 371.3 meV/atom.

The space group is P4/mmm (No. 123) and the conventional cell measures 3.898, 3.898 and 6.334 Å, with angles of 90.00, 90.00 and 90.00 degrees. Symmetry generates all atoms from Be at (0.000, 0.000, 0.000), Cd at (0.000, 0.500, 0.500) and Te at (0.500, 0.500, 0.000).

---

(9)
CrRhAu: relaxed, GGA-PBE.

For the polymorph energy (0 for the lowest one), the calculation gives 131 meV/atom. The density of states at the Fermi level comes out at 3.52 states/eV/cell. As for the energy of formation: 0.198 eV per atom.

The space group is P-6m2 (No. 187) and the conventional cell measures 4.3276, 4.3276 and 2.8836 Å, with angles of 90.00, 90.00 and 120.00 degrees. Symmetry generates all atoms from Cr at (0.0000, 0.0000, 0.0000), Rh at (0.3333, 0.6667, 0.0000) and Au at (0.6667, 0.3333, 0.5000).

---

(10)
Tl2CuHgBi: relaxed, GGA-PBE.

The density of states at the Fermi level comes out at 2.49 states/eV/cell. As for the energy of formation: 0.183 eV per atom.

The space group is P4/mmm (No. 123) and the conventional cell measures 5.278, 5.278 and 5.355 Å, with angles of 90.00, 90.00 and 90.00 degrees. Symmetry generates all atoms from Tl at (0.000, 0.500, 0.000), Cu at (0.000, 0.000, 0.000), Hg at (0.500, 0.500, 0.500) and Bi at (0.000, 0.000, 0.500).

---

(11)
AlCo2As: relaxed, GGA-PBE.

For the polymorph energy (0 for the lowest one), the calculation gives 81 meV/atom. The density of states at the Fermi level comes out at 4.46 states/eV/cell. As for the energy of formation: -0.168 eV per atom.

The space group is Imm2 (No. 44) and the conventional cell measures 3.160, 3.582 and 9.033 Å, with angles of 90.00, 90.00 and 90.00 degrees. Symmetry generates all atoms from Al at (0.000, 0.000, 0.000), Co at (0.000, 0.000, 0.446), Co at (0.000, 0.500, 0.206) and As at (0.000, 0.500, 0.757).

---

(12)
Hg5Se2I2: relaxed, GGA-PBE.

As for the uncorrected formation energy: -117.8 meV/atom.

The space group is C2 (No. 5) and the conventional cell measures 24.543, 7.676 and 8.172 Å, with angles of 90.00, 98.17 and 90.00 degrees. Symmetry generates all atoms from Hg at (0.001, 0.000, 0.254), Hg at (0.046, 0.588, 0.363), Hg at (0.194, 0.065, 0.943), Hg at (0.195, 0.549, 0.957), Hg at (0.249, 0.567, 0.502), Se at (0.000, 0.196, 0.500), Se at (0.000, 0.813, 0.000), Se at (0.243, 0.815, 0.298), I at (0.112, 0.303, 0.033) and I at (0.139, 0.802, 0.716).

---

(13)
Sc2TlTc: relaxed, GGA-PBE.

For the polymorph energy (0 for the lowest one), the calculation gives 237 meV/atom. The density of states at the Fermi level comes out at 8.08 states/eV/cell. As for the energy of formation: -0.063 eV per atom.

The space group is Cm (No. 8) and the conventional cell measures 10.824, 3.523 and 4.691 Å, with angles of 90.00, 115.56 and 90.00 degrees. Symmetry generates all atoms from Sc at (0.000, 0.000, 0.000), Sc at (0.223, 0.000, 0.726), Tl at (0.455, 0.000, 0.454) and Tc at (0.219, 0.500, 0.228).

---

(14)
Tm2Ge3Rh5: relaxed, GGA-PBE.

The density of states at the Fermi level comes out at 19.12 states/eV/cell. As for the energy of formation: -0.802 eV per atom.

The space group is Cmc2_1 (No. 36) and the conventional cell measures 4.102, 24.466 and 6.633 Å, with angles of 90.00, 90.00 and 90.00 degrees. Symmetry generates all atoms from Tm at (0.000, 0.019, 0.000), Tm at (0.000, 0.326, 0.991), Ge at (0.000, 0.111, 0.247), Ge at (0.000, 0.271, 0.480), Ge at (0.000, 0.453, 0.214), Rh at (0.000, 0.099, 0.645), Rh at (0.000, 0.207, 0.769), Rh at (0.000, 0.209, 0.186), Rh at (0.000, 0.372, 0.469) and Rh at (0.000, 0.444, 0.838).

---

(15)
Tb4Sm4Ho: relaxed, GGA-PBE.

For the polymorph energy (0 for the lowest one), the calculation gives 88 meV/atom. The density of states at the Fermi level comes out at 30.02 states/eV/cell. As for the energy of formation: 0.105 eV per atom.

The space group is C2/m (No. 12) and the conventional cell measures 16.793, 5.586 and 6.847 Å, with angles of 90.00, 112.52 and 90.00 degrees. Symmetry generates all atoms from Tb at (0.074, 0.000, 0.382), Tb at (0.131, 0.500, 0.692), Sm at (0.133, 0.000, 0.963), Sm at (0.218, 0.500, 0.289) and Ho at (0.000, 0.500, 0.000).

---

(16)
TiVCr2: relaxed, GGA-PBE.

For the polymorph energy (0 for the lowest one), the calculation gives 3 meV/atom. The density of states at the Fermi level comes out at 25.51 states/eV/cell. As for the energy of formation: 0.013 eV per atom.

The space group is Fm-3m (No. 225) and the conventional cell measures 5.942, 5.942 and 5.942 Å, with angles of 90.00, 90.00 and 90.00 degrees. Symmetry generates all atoms from Ti at (0.000, 0.000, 0.000), V at (0.000, 0.000, 0.500) and Cr at (0.250, 0.250, 0.250).

---

(17)
Li2BiPbCl8: relaxed, GGA-PBE.

The density of states at the Fermi level comes out at 4.79 states/eV/cell. As for the uncorrected formation energy: -1164.1 meV/atom.

The space group is P2/m (No. 10) and the conventional cell measures 6.303, 8.203 and 6.359 Å, with angles of 90.00, 95.36 and 90.00 degrees. Symmetry generates all atoms from Li at (0.000, 0.240, 0.000), Bi at (0.500, 0.000, 0.500), Pb at (0.500, 0.500, 0.500), Cl at (0.184, 0.500, 0.176), Cl at (0.193, 0.000, 0.177) and Cl at (0.292, 0.246, 0.693).

---

(18)
Li5Dy3: relaxed, GGA-PBE.

The density of states at the Fermi level comes out at 6.48 states/eV/cell. As for the energy of formation: 0.046 eV per atom.

The space group is P4/mmm (No. 123) and the conventional cell measures 3.544, 3.544 and 15.612 Å, with angles of 90.00, 90.00 and 90.00 degrees. Symmetry generates all atoms from Li at (0.000, 0.000, 0.000), Li at (0.000, 0.000, 0.203), Li at (0.500, 0.500, 0.106), Dy at (0.000, 0.000, 0.500) and Dy at (0.500, 0.500, 0.343).

---

(19)
Pb3Se2Br2: relaxed, GGA-PBE.

For the polymorph energy (0 for the lowest one), the calculation gives 0 meV/atom. As for the uncorrected formation energy: -704.2 meV/atom.

The space group is C2/m (No. 12) and the conventional cell measures 14.539, 4.394 and 8.019 Å, with angles of 90.00, 101.77 and 90.00 degrees. Symmetry generates all atoms from Pb at (0.000, 0.000, 0.000), Pb at (0.240, 0.000, 0.771), Se at (0.128, 0.500, 0.901) and Br at (0.130, 0.000, 0.354).

---

(20)
V2FeRu5: relaxed, GGA-PBE.

The density of states at the Fermi level comes out at 15.50 states/eV/cell. As for the energy of formation: -0.076 eV per atom.

The space group is I4/mmm (No. 139) and the conventional cell measures 5.372, 5.372 and 7.489 Å, with angles of 90.00, 90.00 and 90.00 degrees. Symmetry generates all atoms from V at (0.000, 0.500, 0.000), Fe at (0.000, 0.000, 0.000), Ru at (0.000, 0.000, 0.500) and Ru at (0.250, 0.250, 0.250).

---

| no. | electronic total energy (eV/atom) |
| --- | --- |
| 1 | -4.239 |
| 2 | -11.605 |
| 3 | -1.357 |
| 4 | -4.449 |
| 5 | -7.493 |
| 6 | -3.735 |
| 7 | -8.131 |
| 8 | -1.803 |
| 9 | -6.553 |
| 10 | -2.419 |
| 11 | -5.819 |
| 12 | -1.404 |
| 13 | -6.412 |
| 14 | -6.757 |
| 15 | -4.559 |
| 16 | -9.052 |
| 17 | -3.347 |
| 18 | -2.876 |
| 19 | -3.767 |
| 20 | -9.211 |